No. 1
The following is a PBE-GGA calculation of crystalline Mg3Ga3Co2 at its relaxed geometry, from Alexandria via LeMat-Bulk.

Cell and atoms, written as CIF:
```
data_Mg3Ga3Co2
_symmetry_space_group_name_H-M 'P n m a'
_symmetry_Int_Tables_number 62
_cell_length_a 7.470
_cell_length_b 13.670
_cell_length_c 5.254
_cell_angle_alpha 90.00
_cell_angle_beta 90.00
_cell_angle_gamma 90.00
loop_
_symmetry_equiv_pos_as_xyz
'x,y,z'
'-x,-y,-z'
'-x+1/2,-y,z+1/2'
'x+1/2,y,-z+1/2'
'x+1/2,-y+1/2,-z+1/2'
'-x+1/2,y+1/2,z+1/2'
'-x,y+1/2,-z'
'x,-y+1/2,z'
loop_
_atom_site_label
_atom_site_fract_x
_atom_site_fract_y
_atom_site_fract_z
_atom_site_occupancy
Mg1 0.042 0.110 0.103 1
Mg2 0.187 0.250 0.630 1
Ga1 0.156 0.750 0.616 1
Ga2 0.186 0.039 0.611 1
Co1 0.104 0.606 0.390 1
```

## Properties
Energy above the most stable polymorph in this dataset ... 0 meV/atom
Uncorrected energy ... -3.714 eV/atom

No. 2
The following is a PBE-GGA calculation of crystalline CuHNF2 at its relaxed geometry, from Alexandria via LeMat-Bulk.

Cell and atoms, written as CIF:
```
data_CuHNF2
_symmetry_space_group_name_H-M 'P 4/m m m'
_symmetry_Int_Tables_number 123
_symmetry_space_group_name_Hall '-P 4 2'
_cell_length_a 3.964
_cell_length_b 3.964
_cell_length_c 3.784
_cell_angle_alpha 90.00
_cell_angle_beta 90.00
_cell_angle_gamma 90.00
loop_
_atom_site_label
_atom_site_fract_x
_atom_site_fract_y
_atom_site_fract_z
_atom_site_occupancy
Cu1 0.000 0.000 0.000 1
H1 0.500 0.500 0.500 1
N1 0.000 0.000 0.500 1
F1 0.000 0.500 0.000 1
```

## Properties
Energy above the most stable polymorph in this dataset ... 142 meV/atom
Uncorrected energy ... -3.424 eV/atom

No. 3
The following is a PBE-GGA calculation of crystalline SrSmAgHg at its relaxed geometry, from Alexandria via LeMat-Bulk.

Cell and atoms, written as CIF:
```
data_SrSmAgHg
_symmetry_space_group_name_H-M 'P 4 m m'
_symmetry_Int_Tables_number 99
_cell_length_a 3.845
_cell_length_b 3.845
_cell_length_c 7.751
_cell_angle_alpha 90.00
_cell_angle_beta 90.00
_cell_angle_gamma 90.00
loop_
_symmetry_equiv_pos_as_xyz
'x,y,z'
'-y,x,z'
'-x,-y,z'
'y,-x,z'
'-x,y,z'
'y,x,z'
'x,-y,z'
'-y,-x,z'
loop_
_atom_site_label
_atom_site_fract_x
_atom_site_fract_y
_atom_site_fract_z
_atom_site_occupancy
Sr1 0.000 0.000 0.000 1
Sm1 0.000 0.000 0.509 1
Ag1 0.500 0.500 0.722 1
Hg1 0.500 0.500 0.279 1
```

## Properties
Energy above the most stable polymorph in this dataset ... 0 meV/atom
Uncorrected energy ... -2.773 eV/atom

No. 4
The following is a PBE-GGA calculation of crystalline Ti3AlAu at its relaxed geometry, from Alexandria via LeMat-Bulk.

Cell and atoms, written as CIF:
```
data_Ti3AlAu
_symmetry_space_group_name_H-M 'C 1 2/m 1'
_symmetry_Int_Tables_number 12
_cell_length_a 14.625
_cell_length_b 3.973
_cell_length_c 5.847
_cell_angle_alpha 90.00
_cell_angle_beta 98.89
_cell_angle_gamma 90.00
loop_
_symmetry_equiv_pos_as_xyz
'x,y,z'
'-x,-y,-z'
'-x,y,-z'
'x,-y,z'
'x+1/2,y+1/2,z'
'-x+1/2,-y+1/2,-z'
'-x+1/2,y+1/2,-z'
'x+1/2,-y+1/2,z'
loop_
_atom_site_label
_atom_site_fract_x
_atom_site_fract_y
_atom_site_fract_z
_atom_site_occupancy
Ti1 0.003 0.000 0.252 1
Ti2 0.098 0.500 0.560 1
Ti3 0.195 0.000 0.854 1
Al1 0.099 0.500 0.045 1
Au1 0.198 0.000 0.341 1
```

## Properties
Energy above the most stable polymorph in this dataset ... 0 meV/atom
Uncorrected energy ... -6.456 eV/atom

No. 5
The following is a PBE-GGA calculation of crystalline NdSmRuBr at its relaxed geometry, from Alexandria via LeMat-Bulk.

Cell and atoms, written as CIF:
```
data_NdSmRuBr
_symmetry_space_group_name_H-M 'C 1 m 1'
_symmetry_Int_Tables_number 8
_cell_length_a 7.005
_cell_length_b 4.050
_cell_length_c 8.245
_cell_angle_alpha 90.00
_cell_angle_beta 106.40
_cell_angle_gamma 90.00
loop_
_symmetry_equiv_pos_as_xyz
'x,y,z'
'x,-y,z'
'x+1/2,y+1/2,z'
'x+1/2,-y+1/2,z'
loop_
_atom_site_label
_atom_site_fract_x
_atom_site_fract_y
_atom_site_fract_z
_atom_site_occupancy
Nd1 0.000 0.000 0.000 1
Sm1 0.298 0.500 0.392 1
Ru1 0.399 0.000 0.198 1
Br1 0.230 0.000 0.688 1
```

## Properties
E_form (uncorrected) ... -2.9 eV per formula unit
Uncorrected energy ... -5.844 eV/atom

No. 6
The following is a PBE-GGA calculation of crystalline TiSn2Se4 at its relaxed geometry, from Alexandria via LeMat-Bulk.

Cell and atoms, written as CIF:
```
data_TiSn2Se4
_symmetry_space_group_name_H-M 'C m c m'
_symmetry_Int_Tables_number 63
_symmetry_space_group_name_Hall '-C 2c 2'
_cell_length_a 3.649
_cell_length_b 14.048
_cell_length_c 14.019
_cell_angle_alpha 90.00
_cell_angle_beta 90.00
_cell_angle_gamma 90.00
loop_
_atom_site_label
_atom_site_fract_x
_atom_site_fract_y
_atom_site_fract_z
_atom_site_occupancy
Ti1 0.000 0.130 0.250 1
Sn1 0.000 0.373 0.078 1
Se1 0.000 0.000 0.000 1
Se2 0.000 0.298 0.634 1
Se3 0.000 0.494 0.250 1
```

## Properties
Energy above the most stable polymorph in this dataset ... 0 meV/atom
E_form (uncorrected) ... -3.9 eV per formula unit
Uncorrected energy ... -4.817 eV/atom